Entry 1:
## HfZnAu (PBE-GGA)

Data for crystalline HfZnAu at its relaxed geometry. Values from VASP.

Cell and atoms, written as Quantum ESPRESSO input:
```
&SYSTEM
  ibrav = 0, nat = 3, ntyp = 3
/
ATOMIC_SPECIES
Au 196.97 Au.upf
Hf 178.49 Hf.upf
Zn 65.41 Zn.upf
CELL_PARAMETERS angstrom
-1.642 1.642 4.911
1.642 -1.642 4.911
1.642 1.642 -4.911
ATOMIC_POSITIONS crystal
Au 0.678 0.678 0.000
Hf 0.997 0.997 0.000
Zn 0.326 0.326 0.000
```

* energy: -15.390 eV/f.u.
* space-group type: No. 107

Entry 2:
## HfZnAu (PBE-GGA)

Data for crystalline HfZnAu at its relaxed geometry. Values from VASP.

Cell and atoms, written as Quantum ESPRESSO input:
```
&SYSTEM
  ibrav = 0, nat = 6, ntyp = 3
/
ATOMIC_SPECIES
Hf 178.49 Hf.upf
Zn 65.41 Zn.upf
Au 196.97 Au.upf
CELL_PARAMETERS angstrom
3.262 0.000 0.000
0.000 3.262 0.000
0.000 0.000 9.945
ATOMIC_POSITIONS crystal
Hf 0.500 0.500 0.000
Zn 0.500 0.500 0.669
Au 0.000 0.000 0.182
Hf 0.000 0.000 0.500
Zn 0.500 0.500 0.331
Au 0.000 0.000 0.818
```

* energy: -15.390 eV/f.u.
* space-group type: No. 123

Entry 3:
## Hf2ZnAu (PBE-GGA)

Data for crystalline Hf2ZnAu at its relaxed geometry. Values from VASP.

Cell and atoms, written as Quantum ESPRESSO input:
```
&SYSTEM
  ibrav = 0, nat = 4, ntyp = 3
/
ATOMIC_SPECIES
Hf 178.49 Hf.upf
Zn 65.41 Zn.upf
Au 196.97 Au.upf
CELL_PARAMETERS angstrom
-3.350 -1.624 2.986
-3.995 2.516 0.701
-4.157 -1.595 -1.718
ATOMIC_POSITIONS crystal
Hf 0.750 0.750 0.750
Hf 0.000 0.000 0.000
Zn 0.500 0.500 0.500
Au 0.250 0.250 0.250
```

* energy: -24.099 eV/f.u.
* space-group type: No. 216

Number 1: total magnetization 0.01 μB/cell. Number 2: total magnetization 0.14 μB/cell. Number 3: total magnetization 2.82 μB/cell.